{
  "formula": "Zr2VPbO8",
  "functional": "GGA+U",
  "state": "optimized geometry",
  "crystal_system": "orthorhombic",
  "magmom_total_mub_per_cell": 0.99,
  "energy_ev_per_fu": -95.83,
  "lattice_angstrom": [[-1.0533, -4.4398, -1.6799], [2.3077, -1.9580, 3.8028], [-5.5815, 0.0354, 3.4054]],
  "species": ["O", "O", "O", "O", "O", "O", "O", "O", "Zr", "Zr", "V", "Pb"],
  "frac_coords": [[0.1911, 0.8081, 0.7748], [0.2910, 0.2903, 0.0000], [0.8089, 0.1919, 0.2252], [0.1911, 0.8080, 0.2252], [0.8089, 0.1920, 0.7748], [0.3154, 0.3146, 0.5000], [0.6846, 0.6854, 0.5000], [0.7090, 0.7097, 0.0000], [0.5000, 0.5000, 0.7574], [0.5000, 0.5000, 0.2426], [0.0000, 0.0000, 0.0000], [0.0000, 0.0000, 0.5000]]
}